Record 1
Entry from Alexandria: CrSbRh4 after structural relaxation (PBE-GGA).

The structure in extended XYZ format:
```
6
Lattice="0.0000 3.6639 3.6639 3.6639 0.0000 3.6639 3.6639 3.6639 0.0000" Properties=species:S:1:pos:R:3 pbc="T T T"
Cr 0.0000 0.0000 0.0000
Sb 1.8319 1.8319 1.8319
Rh 4.5811 2.7467 2.7467
Rh 2.7467 4.5811 2.7467
Rh 2.7467 2.7467 4.5811
Rh 4.5811 4.5811 4.5811
```

Output
* raw formation energy: 218.3 meV/atom
* total DFT energy (no corrections): -41.8 eV per cell

=====

Record 2
Entry from Alexandria: NaAgTeSe after structural relaxation (PBE-GGA).

The structure in extended XYZ format:
```
4
Lattice="4.4026 0.0000 0.0000 0.0289 4.7706 0.0000 2.1668 2.0980 5.2389" Properties=species:S:1:pos:R:3 pbc="T T T"
Na 0.0000 0.0000 0.0000
Ag 4.4067 2.4228 2.7257
Te 4.3760 4.6525 4.3430
Se 2.2040 1.4358 1.5524
```

Output
* raw formation energy: -366.3 meV/atom
* total DFT energy (no corrections): -12.3 eV per cell

=====

Record 3
Entry from Alexandria: Ni3IrW after structural relaxation (PBE-GGA).

The structure in extended XYZ format:
```
10
Lattice="7.1648 0.0000 0.0000 0.0000 3.3539 2.7505 0.0000 -3.3539 2.7505" Properties=species:S:1:pos:R:3 pbc="T T T"
Ni 0.6021 -2.3795 2.7505
Ni 1.7912 -0.5614 1.6401
Ni 2.9803 -2.3795 2.7505
Ni 4.1845 2.3795 2.7505
Ni 5.3736 0.5614 1.6401
Ni 6.5627 2.3795 2.7505
Ir 1.7912 1.9519 2.0860
Ir 5.3736 -1.9519 2.0860
W 0.0000 0.0000 3.2397
W 3.5824 0.0000 3.2397
```

Output
* E_form: 0.1800 eV/atom
* total DFT energy (no corrections): -76.5 eV per cell

=====

Record 4
Entry from Alexandria: Pu8Pd3Pt2 after structural relaxation (PBE-GGA).

The structure in extended XYZ format:
```
13
Lattice="5.5564 -5.2150 0.0000 5.5564 5.2150 0.0000 -2.0647 0.0000 4.9792" Properties=species:S:1:pos:R:3 pbc="T T T"
Pu 0.2069 0.0000 1.4607
Pu 1.9941 2.5176 4.2451
Pu 3.1246 0.0000 2.0902
Pu 7.0541 2.5176 0.7341
Pu 1.9941 -2.5176 4.2451
Pu 5.9236 0.0000 2.8890
Pu 7.0541 -2.5176 0.7341
Pu 8.8412 0.0000 3.5185
Pd 4.5241 2.6260 2.4896
Pd 5.5564 0.0000 0.0000
Pd 4.5241 -2.6260 2.4896
Pt 0.5298 0.0000 4.3109
Pt 8.5183 0.0000 0.6683
```

Output
* E_form: -0.3147 eV/atom
* total DFT energy (no corrections): -146.4 eV per cell

=====

Copy entry 3 word for word.
Entry from Alexandria: Ni3IrW after structural relaxation (PBE-GGA).

The structure in extended XYZ format:
```
10
Lattice="7.1648 0.0000 0.0000 0.0000 3.3539 2.7505 0.0000 -3.3539 2.7505" Properties=species:S:1:pos:R:3 pbc="T T T"
Ni 0.6021 -2.3795 2.7505
Ni 1.7912 -0.5614 1.6401
Ni 2.9803 -2.3795 2.7505
Ni 4.1845 2.3795 2.7505
Ni 5.3736 0.5614 1.6401
Ni 6.5627 2.3795 2.7505
Ir 1.7912 1.9519 2.0860
Ir 5.3736 -1.9519 2.0860
W 0.0000 0.0000 3.2397
W 3.5824 0.0000 3.2397
```

Output
* E_form: 0.1800 eV/atom
* total DFT energy (no corrections): -76.5 eV per cell